# LaDy3Ho6Sc2 (GGA-PBE, relaxed)
data_LaDy3Ho6Sc2
_chemical_formula_sum 'La1 Dy3 Ho6 Sc2'
_symmetry_space_group_name_H-M 'P 1'
_symmetry_Int_Tables_number 1
_symmetry_space_group_name_Hall 'P 1'
_cell_length_a 6.063
_cell_length_b 6.063
_cell_length_c 11.641
_cell_angle_alpha 94.95
_cell_angle_beta 94.95
_cell_angle_gamma 119.97
loop_
_atom_site_label
_atom_site_fract_x
_atom_site_fract_y
_atom_site_fract_z
La1 0.000 0.000 0.000
Dy1 0.167 0.833 0.500
Dy2 0.500 0.500 0.500
Dy3 0.833 0.167 0.500
Ho1 0.084 0.420 0.248
Ho2 0.253 0.253 0.752
Ho3 0.420 0.084 0.248
Ho4 0.580 0.916 0.752
Ho5 0.747 0.747 0.248
Ho6 0.916 0.580 0.752
Sc1 0.333 0.667 0.000
Sc2 0.667 0.333 0.000
# Formation enthalpy at 0 K (eV per atom): 0.040
# N(E_F) (states/eV per cell): 16.8
# Space group: No. 12